# 1
KSc2Tl GGA-PBE relaxed; crystal system = tetragonal; raw total energy = -3.679 eV/atom; energy relative to the lowest polymorph listed for this composition = 249.5 meV/atom; DFT formation energy = 352 meV/atom
1.0
4.863 0.000 0.000
0.000 4.863 0.000
0.000 0.000 4.611
K Sc Tl
1 2 1
Direct
0.000 0.000 0.000 K
0.000 0.500 0.500 Sc
0.500 0.000 0.500 Sc
0.500 0.500 0.000 Tl


# 2
Rb2WCl6 GGA-PBE relaxed; crystal system = cubic; raw total energy = -4.266 eV/atom; formation energy without anion corrections = -1.380 eV per atom
1.0
0.000 5.130 5.130
5.130 0.000 5.130
5.130 5.130 0.000
Rb W Cl
2 1 6
Direct
0.250 0.250 0.250 Rb
0.750 0.750 0.750 Rb
0.000 0.000 0.000 W
0.234 0.234 0.766 Cl
0.234 0.766 0.234 Cl
0.234 0.766 0.766 Cl
0.766 0.234 0.234 Cl
0.766 0.234 0.766 Cl
0.766 0.766 0.234 Cl


# 3
ThGe2HRu2 GGA-PBE relaxed; crystal system = tetragonal; raw total energy = -7.006 eV/atom
1.0
4.194 0.000 0.000
0.000 4.194 0.000
0.000 0.000 5.266
Th Ge H Ru
1 2 1 2
Direct
0.000 0.000 0.000 Th
0.500 0.500 0.235 Ge
0.500 0.500 0.765 Ge
0.000 0.000 0.500 H
0.000 0.500 0.500 Ru
0.500 0.000 0.500 Ru


# 4
YRe4Si GGA-PBE relaxed; crystal system = cubic; raw total energy = -10.007 eV/atom; formation energy without anion corrections = 0.273 eV per atom
1.0
0.000 3.739 3.739
3.739 0.000 3.739
3.739 3.739 0.000
Y Re Si
1 4 1
Direct
0.000 0.000 0.000 Y
0.128 0.624 0.624 Re
0.624 0.128 0.624 Re
0.624 0.624 0.128 Re
0.624 0.624 0.624 Re
0.250 0.250 0.250 Si


# 5
VGe3Au GGA-PBE relaxed; crystal system = cubic; raw total energy = -4.840 eV/atom; energy relative to the lowest polymorph listed for this composition = 0.0 meV/atom; DFT formation energy = 409 meV/atom
1.0
4.760 0.000 0.000
0.000 4.760 0.000
0.000 0.000 4.760
V Ge Au
1 3 1
Direct
0.000 0.000 0.000 V
0.000 0.000 0.500 Ge
0.000 0.500 0.000 Ge
0.500 0.000 0.000 Ge
0.500 0.500 0.500 Au


# 6
Sc2Ge2Os GGA-PBE relaxed; crystal system = tetragonal; raw total energy = -7.324 eV/atom; DFT formation energy = -698 meV/atom
1.0
6.588 0.000 0.000
0.000 6.588 0.000
0.000 0.000 8.009
Sc Ge Os
8 8 4
Direct
0.171 0.326 0.000 Sc
0.174 0.329 0.500 Sc
0.326 0.829 0.000 Sc
0.329 0.826 0.500 Sc
0.671 0.174 0.500 Sc
0.674 0.171 0.000 Sc
0.826 0.671 0.500 Sc
0.829 0.674 0.000 Sc
0.135 0.635 0.250 Ge
0.135 0.635 0.750 Ge
0.365 0.135 0.250 Ge
0.365 0.135 0.750 Ge
0.635 0.865 0.250 Ge
0.635 0.865 0.750 Ge
0.865 0.365 0.250 Ge
0.865 0.365 0.750 Ge
0.000 0.000 0.282 Os
0.000 0.000 0.718 Os
0.500 0.500 0.218 Os
0.500 0.500 0.782 Os


Please write out number 5 again, unchanged.
VGe3Au GGA-PBE relaxed; crystal system = cubic; raw total energy = -4.840 eV/atom; energy relative to the lowest polymorph listed for this composition = 0.0 meV/atom; DFT formation energy = 409 meV/atom
1.0
4.760 0.000 0.000
0.000 4.760 0.000
0.000 0.000 4.760
V Ge Au
1 3 1
Direct
0.000 0.000 0.000 V
0.000 0.000 0.500 Ge
0.000 0.500 0.000 Ge
0.500 0.000 0.000 Ge
0.500 0.500 0.500 Au


Q: What is the formula in the sixth record?
A: Sc2Ge2Os


Q: Which formula does entry 4 have?
A: YRe4Si